No. 1
SmTm2Al3 | GGA-PBE | optimized geometry

Cell lengths 5.9293, 9.9532, 7.7544 Å; angles 129.92, 112.48, 90.00 degrees
Last column: nearest neighbours and their distance in Å.
Positions (direct):
1 Al 0.0000 0.0000 0.5000  4 Al 2.97, 4 Tm 3.02
2 Al 0.0000 0.7500 0.0000  4 Al 2.96-2.97, 4 Tm 3.02
3 Al 0.0000 0.5000 0.5000  4 Al 2.97, 4 Tm 3.02
4 Al 0.5000 0.7500 0.0000  4 Al 2.96-2.97, 4 Tm 3.02
5 Al 0.5000 0.2500 0.0000  4 Al 2.96-2.97, 4 Tm 3.02
6 Al 0.0000 0.2500 0.0000  4 Al 2.96-2.97, 4 Tm 3.02
7 Sm 0.5000 0.2500 0.5000  6 Tm 3.42-3.44
8 Sm 0.5000 0.7500 0.5000  6 Tm 3.42-3.44
9 Tm 0.8337 0.5837 0.1674  6 Al 3.02
10 Tm 0.8337 0.0837 0.1674  6 Al 3.02
11 Tm 0.1663 0.4163 0.8326  6 Al 3.02
12 Tm 0.1663 0.9163 0.8326  6 Al 3.02

Summary:
calculated formation energy	-0.165	eV per atom
relative energy among the computed polymorphs	221.0	meV/atom

No. 2
NaZnSe | GGA-PBE | optimized geometry

Cell lengths 4.9232, 4.9232, 7.5447 Å; angles 70.96, 70.96, 60.00 degrees
Last column: nearest neighbours and their distance in Å.
Positions (direct):
1 Se 0.7403 0.7403 0.7792  4 Zn 2.61-2.88
2 Se 0.2597 0.2597 0.2208  4 Zn 2.61-2.88
3 Na 0.1166 0.1166 0.6502  4 Se 2.98-3.00, 3 Zn 3.16
4 Na 0.8834 0.8834 0.3498  4 Se 2.98-3.00, 3 Zn 3.16
5 Zn 0.3841 0.3841 0.8477  4 Se 2.61-2.88
6 Zn 0.6159 0.6159 0.1523  4 Se 2.61-2.88

Summary:
E_form (uncorrected)	-0.41	eV/atom

In order of appearance, calculated total energy = -4.3130 -2.4344 eV per atom.